# 1
This record from the Alexandria database describes a relaxed LiNiCl5 crystal. The functional is PBE.

Values from the calculation:
- D(E_F) (states/eV/atom) = 1.371
- VASP energy (eV/atom) = -3.089
- energy relative to the elements, uncorrected (eV per atom) = -0.6702
- space-group type = C2/c, No. 15

```
LiNiCl5
1.0
-3.8707 -3.8196 -3.2823
3.9686 0.6012 -4.9228
4.1282 -5.0147 6.2135
Li Ni Cl
2 2 10
Direct
0.9474 0.5526 0.2500
0.0526 0.4474 0.7500
0.0000 0.0000 0.0000
0.5000 0.5000 0.5000
0.8280 0.8665 0.1389
0.7423 0.2615 0.4795
0.3665 0.3280 0.6389
0.2168 0.2832 0.2500
0.2385 0.7577 0.0205
0.7615 0.2423 0.9795
0.7832 0.7168 0.7500
0.6335 0.6720 0.3611
0.2577 0.7385 0.5205
0.1720 0.1335 0.8611
```


# 2
This record from the Alexandria database describes a relaxed Li2NiCl4 crystal. The functional is PBE.

Values from the calculation:
- D(E_F) (states/eV/atom) = 0.105
- VASP energy (eV/atom) = -3.509
- energy relative to the elements, uncorrected (eV per atom) = -1.0810
- space-group type = I4/mmm, No. 139

```
Li2NiCl4
1.0
4.7476 0.0000 0.0000
0.0000 4.7476 0.0000
2.3738 2.3738 6.2685
Ni Li Cl
1 2 4
Direct
0.0000 0.0000 0.0000
0.6323 0.6323 0.7355
0.3677 0.3677 0.2645
0.8189 0.8189 0.3622
0.1811 0.1811 0.6378
0.0000 0.5000 0.0000
0.5000 0.0000 0.0000
```


# 3
This record from the Alexandria database describes a relaxed Li4NiCl crystal. The functional is PBE.

Values from the calculation:
- D(E_F) (states/eV/atom) = 0.341
- VASP energy (eV/atom) = -2.414
- energy relative to the elements, uncorrected (eV per atom) = 0.1328
- space-group type = F-43m, No. 216

```
Li4NiCl
1.0
0.0000 3.6703 3.6703
3.6703 0.0000 3.6703
3.6703 3.6703 0.0000
Li Ni Cl
4 1 1
Direct
0.8719 0.3760 0.3760
0.3760 0.3760 0.8719
0.3760 0.8719 0.3760
0.3760 0.3760 0.3760
0.7500 0.7500 0.7500
0.0000 0.0000 0.0000
```